[1]
! Tm2SeCl (GGA-PBE, optimized geometry); values from VASP
! Distance to the lowest polymorph of the same formula = 0 meV/atom
! Space group = R-3m
! N(E_F) = 2.01 states/eV/f.u.
! Calculated total energy = -4.892 eV per atom
! Uncorrected formation energy = -1.324 eV per atom
&SYSTEM
  ibrav = 0, nat = 4, ntyp = 3
/
ATOMIC_SPECIES
Tm 168.93 Tm.upf
Se 78.96 Se.upf
Cl 35.45 Cl.upf
CELL_PARAMETERS angstrom
-1.777 0.902 3.242
-0.991 -2.737 2.453
6.754 0.183 5.885
ATOMIC_POSITIONS angstrom
Tm 4.488 -0.052 4.708
Tm -0.502 -1.600 6.872
Se 1.993 -0.826 5.790
Cl 0.000 0.000 0.000


[2]
! Tm2Se2Cl (GGA-PBE, optimized geometry); values from VASP
! Space group = C2/m
! N(E_F) = 1.49 states/eV/f.u.
! Calculated total energy = -5.429 eV per atom
! Uncorrected formation energy = -1.877 eV per atom
&SYSTEM
  ibrav = 0, nat = 10, ntyp = 3
/
ATOMIC_SPECIES
Tm 168.93 Tm.upf
Se 78.96 Se.upf
Cl 35.45 Cl.upf
CELL_PARAMETERS angstrom
-2.801 4.839 -0.242
-2.149 -4.231 4.998
6.511 3.891 2.436
ATOMIC_POSITIONS angstrom
Tm 2.613 1.662 2.995
Tm -1.052 2.837 4.197
Tm -1.847 -0.796 5.458
Tm 3.407 5.295 1.734
Se 1.247 4.111 3.061
Se 0.314 0.388 4.132
Se 4.895 2.932 1.966
Se -3.335 1.567 5.227
Cl 3.413 2.255 5.590
Cl -1.853 2.244 1.603


[3]
! TmSeCl (GGA-PBE, optimized geometry); values from VASP
! Space group = P3m1
! N(E_F) = 0.00 states/eV/f.u.
! Calculated total energy = -5.243 eV per atom
! Uncorrected formation energy = -1.975 eV per atom
&SYSTEM
  ibrav = 0, nat = 3, ntyp = 3
/
ATOMIC_SPECIES
Tm 168.93 Tm.upf
Se 78.96 Se.upf
Cl 35.45 Cl.upf
CELL_PARAMETERS angstrom
-3.278 2.137 -0.937
-0.216 -2.900 2.781
1.554 4.492 4.803
ATOMIC_POSITIONS angstrom
Tm -1.750 1.924 1.870
Se 0.178 0.515 0.551
Cl -0.368 1.289 4.226


[4]
! U4Se5Cl (GGA-PBE, optimized geometry); values from VASP
! Space group = Pmmn
! N(E_F) = 21.87 states/eV/f.u.
! Calculated total energy = -7.373 eV per atom
! Uncorrected formation energy = -0.931 eV per atom
&SYSTEM
  ibrav = 0, nat = 20, ntyp = 3
/
ATOMIC_SPECIES
U 238.03 U.upf
Se 78.96 Se.upf
Cl 35.45 Cl.upf
CELL_PARAMETERS angstrom
-0.605 2.028 6.545
-8.162 -0.223 -0.686
0.012 -8.879 2.752
ATOMIC_POSITIONS angstrom
U -0.020 -6.302 2.290
U -7.257 0.975 3.177
U -1.600 1.130 3.653
U -0.025 -2.387 1.076
U -4.655 -0.137 6.502
U -5.585 -3.722 3.715
U -3.080 -3.653 3.925
U -4.649 -5.101 8.040
Se -6.055 -6.788 3.461
Se -2.409 -6.688 3.767
Se -4.483 1.235 4.005
Se -6.063 -1.338 1.772
Se -2.416 -1.239 2.078
Se -6.779 -1.408 5.120
Se -2.264 -1.285 5.500
Se -0.197 -3.759 3.574
Se -2.260 -4.715 6.563
Se -6.775 -4.838 6.183
Cl -0.568 1.904 6.147
Cl -4.112 -4.428 1.431


[5]
! USe2Cl4 (GGA-PBE, optimized geometry); values from VASP
! Space group = P-1
! N(E_F) = 3.99 states/eV/f.u.
! Calculated total energy = -4.800 eV per atom
! Uncorrected formation energy = -1.137 eV per atom
&SYSTEM
  ibrav = 0, nat = 7, ntyp = 3
/
ATOMIC_SPECIES
U 238.03 U.upf
Se 78.96 Se.upf
Cl 35.45 Cl.upf
CELL_PARAMETERS angstrom
3.924 0.004 -1.109
-0.412 6.562 -1.482
0.797 0.401 10.330
ATOMIC_POSITIONS angstrom
U 0.000 0.000 0.000
Se 1.194 2.862 4.217
Se 3.115 4.105 3.523
Cl 0.220 5.604 0.749
Cl 4.089 1.363 6.991
Cl 2.167 5.303 7.651
Cl 2.142 1.664 0.089


[6]
! USeCl2 (GGA-PBE, optimized geometry); values from VASP
! Distance to the lowest polymorph of the same formula = 49 meV/atom
! Space group = Pm
! N(E_F) = 4.39 states/eV/f.u.
! Calculated total energy = -5.970 eV per atom
! Uncorrected formation energy = -1.353 eV per atom
&SYSTEM
  ibrav = 0, nat = 4, ntyp = 3
/
ATOMIC_SPECIES
U 238.03 U.upf
Se 78.96 Se.upf
Cl 35.45 Cl.upf
CELL_PARAMETERS angstrom
-0.943 3.002 -1.945
2.883 -1.108 -3.109
-6.827 -3.464 -2.035
ATOMIC_POSITIONS angstrom
U -1.944 -2.877 -3.497
Se -4.185 -1.065 -3.132
Cl -3.718 -4.196 -4.672
Cl -0.956 -0.290 -3.502